Version P
## CdBPC (PBE)

Data for CdBPC after structural relaxation.

Results
The density of states at the Fermi level is 0.9 states/eV per cell. Its magnetic moment is 0.000 μB per formula unit.

a b c (Å): 2.700 4.435 6.229
angles (deg): 109.80 90.50 107.72
Space group P1 (No. 1)
Asymmetric unit:
Cd 0.000 0.000 0.000 (multiplicity 1)
B 0.448 0.887 0.454 (multiplicity 1)
P 0.260 0.508 0.566 (multiplicity 1)
C 0.030 0.053 0.455 (multiplicity 1)

Version Q
## CdBPC (PBE)

Data for CdBPC after structural relaxation.

Results
The density of states at the Fermi level is 0.4 states/eV per cell. Its magnetic moment is 0.000 μB per formula unit.

a b c (Å): 3.119 3.407 5.305
angles (deg): 99.19 96.56 98.58
Space group P1 (No. 1)
Asymmetric unit:
Cd 0.000 0.000 0.000 (multiplicity 1)
B 0.522 0.550 0.430 (multiplicity 1)
P 0.361 0.063 0.586 (multiplicity 1)
C 0.011 0.669 0.340 (multiplicity 1)

Version R
## CdBPC (PBE)

Data for CdBPC after structural relaxation.

Results
The density of states at the Fermi level is 1.0 states/eV per cell. Its magnetic moment is 0.000 μB per formula unit.

a b c (Å): 2.815 2.966 6.616
angles (deg): 90.00 100.75 90.00
Space group Pm (No. 6)
Asymmetric unit:
Cd 0.000 0.000 0.000 (multiplicity 1)
B 0.145 0.500 0.295 (multiplicity 1)
P 0.771 0.000 0.590 (multiplicity 1)
C 0.695 0.500 0.410 (multiplicity 1)

Version S
## CdBPC (PBE)

Data for CdBPC after structural relaxation.

Results
The density of states at the Fermi level is 0.9 states/eV per cell. Its magnetic moment is 0.000 μB per formula unit.

a b c (Å): 8.182 3.258 5.597
angles (deg): 90.00 117.91 90.00
Space group Cm (No. 8)
Asymmetric unit:
Cd 0.000 0.000 0.000 (multiplicity 2)
B 0.050 0.500 0.591 (multiplicity 2)
P 0.155 0.000 0.520 (multiplicity 2)
C 0.397 0.000 0.659 (multiplicity 2)

Least stable: version Q

Version P
## CdBPC (PBE)

Data for CdBPC after structural relaxation.

Results
The density of states at the Fermi level is 0.9 states/eV per cell. Its magnetic moment is 0.000 μB per formula unit.

a b c (Å): 2.691 4.440 6.424
angles (deg): 108.56 90.14 107.64
Space group P1 (No. 1)
Asymmetric unit:
Cd 0.000 0.000 0.000 (multiplicity 1)
B 0.486 0.967 0.575 (multiplicity 1)
P 0.237 0.470 0.465 (multiplicity 1)
C 0.067 0.129 0.568 (multiplicity 1)

Version Q
## CdBPC (PBE)

Data for CdBPC after structural relaxation.

Results
The density of states at the Fermi level is 0.7 states/eV per cell. Its magnetic moment is 0.000 μB per formula unit.

a b c (Å): 2.810 4.105 5.761
angles (deg): 81.75 77.87 88.23
Space group P1 (No. 1)
Asymmetric unit:
Cd 0.000 0.000 0.000 (multiplicity 1)
B 0.753 0.858 0.460 (multiplicity 1)
P 0.248 0.214 0.505 (multiplicity 1)
C 0.749 0.499 0.476 (multiplicity 1)

Least stable: version Q

Version P
## B3CCl (PBE)

Data for B3CCl after structural relaxation.

Results
The density of states at the Fermi level is 2.6 states/eV per cell. Its magnetic moment is 0.000 μB per formula unit.

a b c (Å): 3.723 3.723 3.723
angles (deg): 90.00 90.00 90.00
Space group Pm-3m (No. 221)
Asymmetric unit:
B 0.000 0.000 0.500 (multiplicity 3)
C 0.500 0.500 0.500 (multiplicity 1)
Cl 0.000 0.000 0.000 (multiplicity 1)

Version Q
## B3CCl (PBE)

Data for B3CCl after structural relaxation.

Results
The density of states at the Fermi level is 2.6 states/eV per cell. Its magnetic moment is 0.000 μB per formula unit.

a b c (Å): 3.584 3.584 3.584
angles (deg): 90.00 90.00 90.00
Space group Pm-3m (No. 221)
Asymmetric unit:
B 0.000 0.000 0.500 (multiplicity 3)
C 0.000 0.000 0.000 (multiplicity 1)
Cl 0.500 0.500 0.500 (multiplicity 1)

Least stable: version P

Version P
## BC2Cl (PBE)

Data for BC2Cl after structural relaxation.

Results
The density of states at the Fermi level is 6.9 states/eV per cell. Its magnetic moment is 0.000 μB per formula unit.

a b c (Å): 4.559 4.559 7.958
angles (deg): 90.00 90.00 90.00
Space group I-42d (No. 122)
Asymmetric unit:
B 0.000 0.000 0.000 (multiplicity 4)
C 0.113 0.250 0.125 (multiplicity 8)
Cl 0.000 0.000 0.500 (multiplicity 4)

Version Q
## BC2Cl (PBE)

Data for BC2Cl after structural relaxation.

Results
The density of states at the Fermi level is 8.0 states/eV per cell. Its magnetic moment is 0.000 μB per formula unit.

a b c (Å): 5.361 5.361 5.361
angles (deg): 90.00 90.00 90.00
Space group Fm-3m (No. 225)
Asymmetric unit:
B 0.000 0.000 0.000 (multiplicity 4)
C 0.250 0.250 0.250 (multiplicity 8)
Cl 0.000 0.000 0.500 (multiplicity 4)

Least stable: version Q